! ScCuW | Alexandria via LeMat-Bulk | PBE | relaxed; values from VASP
! Energy relative to the elements in eV/atom: 0.166
! Crystal system: tetragonal
! Excess energy over the best structure of this formula in the dataset in meV/atom: 0
! Total energy in eV for the cell shown: -45.8
! Symmetry: I4mm, No. 107
&SYSTEM
  ibrav = 0, nat = 6, ntyp = 3
/
ATOMIC_SPECIES
Sc 44.96 Sc.upf
Cu 63.55 Cu.upf
W 183.84 W.upf
ATOMIC_POSITIONS angstrom
Sc 0.0000 0.0000 0.0000
Sc 1.3906 1.3906 6.3096
Cu 0.0000 0.0000 8.4273
Cu 1.3906 1.3906 2.1177
W 0.0000 0.0000 4.0129
W 1.3906 1.3906 10.3225
CELL_PARAMETERS angstrom
2.7813 0.0000 0.0000
0.0000 2.7813 0.0000
0.0000 0.0000 12.6191

---

! CaTlSb2Te | Alexandria via LeMat-Bulk | PBE | relaxed; values from VASP
! ΔE_f (raw) in kJ per mole of atoms: 20
! Crystal system: tetragonal
! Excess energy over the best structure of this formula in the dataset in meV/atom: 0
! Total energy in eV for the cell shown: -14.7
! Symmetry: P4/mmm, No. 123
&SYSTEM
  ibrav = 0, nat = 5, ntyp = 4
/
ATOMIC_SPECIES
Ca 40.08 Ca.upf
Tl 204.38 Tl.upf
Sb 121.76 Sb.upf
Te 127.60 Te.upf
ATOMIC_POSITIONS angstrom
Ca 0.0000 0.0000 0.0000
Tl 2.9162 2.9162 2.9185
Sb 0.0000 2.9162 0.0000
Sb 2.9162 0.0000 0.0000
Te 0.0000 0.0000 2.9185
CELL_PARAMETERS angstrom
5.8324 0.0000 0.0000
0.0000 5.8324 0.0000
0.0000 0.0000 5.8369

---

! Sr2LaTl | Alexandria via LeMat-Bulk | PBE | relaxed; values from VASP
! Energy relative to the elements in eV/atom: -0.161
! Crystal system: tetragonal
! Excess energy over the best structure of this formula in the dataset in meV/atom: 0
! Total energy in eV for the cell shown: -11.3
! Symmetry: P4mm, No. 99
&SYSTEM
  ibrav = 0, nat = 4, ntyp = 3
/
ATOMIC_SPECIES
Sr 87.62 Sr.upf
La 138.91 La.upf
Tl 204.38 Tl.upf
ATOMIC_POSITIONS angstrom
Sr 0.0000 0.0000 0.0000
Sr 2.0220 2.0220 3.3022
La 2.0220 2.0220 7.2409
Tl 0.0000 0.0000 5.4151
CELL_PARAMETERS angstrom
4.0440 0.0000 0.0000
0.0000 4.0440 0.0000
0.0000 0.0000 10.1921

---

! Pr2Ge3SbPd4 | Alexandria via LeMat-Bulk | PBE | relaxed; values from VASP
! ΔE_f (raw) in kJ per mole of atoms: -77
! Crystal system: tetragonal
! Total energy in eV for the cell shown: -56.3
! Symmetry: P-4m2, No. 115
&SYSTEM
  ibrav = 0, nat = 10, ntyp = 4
/
ATOMIC_SPECIES
Pr 140.91 Pr.upf
Ge 72.64 Ge.upf
Sb 121.76 Sb.upf
Pd 106.42 Pd.upf
ATOMIC_POSITIONS angstrom
Pr 0.0000 2.2100 2.4849
Pr 2.2100 0.0000 7.9728
Ge 0.0000 2.2100 9.1677
Ge 2.2100 0.0000 1.2900
Ge 2.2100 2.2100 5.2288
Sb 0.0000 0.0000 5.2288
Pd 0.0000 0.0000 0.0000
Pd 0.0000 2.2100 6.6990
Pd 2.2100 0.0000 3.7587
Pd 2.2100 2.2100 0.0000
CELL_PARAMETERS angstrom
4.4200 0.0000 0.0000
0.0000 4.4200 0.0000
0.0000 0.0000 10.4577

---

! Dy5ZrN6 | Alexandria via LeMat-Bulk | PBE | relaxed; values from VASP
! ΔE_f (raw) in kJ per mole of atoms: -167
! Crystal system: monoclinic
! Total energy in eV for the cell shown: -102.3
! Symmetry: C2/m, No. 12
&SYSTEM
  ibrav = 0, nat = 12, ntyp = 3
/
ATOMIC_SPECIES
Dy 162.50 Dy.upf
Zr 91.22 Zr.upf
N 14.01 N.upf
ATOMIC_POSITIONS angstrom
Dy 0.0000 0.0000 0.0000
Dy 1.9800 3.4276 2.7999
Dy 2.9703 1.7078 0.0000
Dy 2.9703 -1.7078 0.0000
Dy 1.9800 -3.4276 2.7999
Zr 1.9800 0.0000 2.7999
N 1.0279 1.6481 1.4435
N 0.0744 0.0000 4.1623
N 1.0279 -1.6481 1.4435
N 2.9320 1.6481 4.1563
N 3.8856 0.0000 1.4375
N 2.9320 -1.6481 4.1563
CELL_PARAMETERS angstrom
2.9703 -5.1418 0.0000
2.9703 5.1418 0.0000
-1.9807 0.0000 5.5998

---

! ZrReAg | Alexandria via LeMat-Bulk | PBE | relaxed; values from VASP
! Energy relative to the elements in eV/atom: 0.295
! Crystal system: trigonal
! Excess energy over the best structure of this formula in the dataset in meV/atom: 40
! Total energy in eV for the cell shown: -23.0
! Symmetry: P3m1, No. 156
&SYSTEM
  ibrav = 0, nat = 3, ntyp = 3
/
ATOMIC_SPECIES
Zr 91.22 Zr.upf
Re 186.21 Re.upf
Ag 107.87 Ag.upf
ATOMIC_POSITIONS angstrom
Zr 0.0000 0.0000 0.0000
Re 0.0000 2.7933 1.6911
Ag 2.4191 1.3967 0.8545
CELL_PARAMETERS angstrom
4.8382 0.0000 0.0000
-2.4191 4.1900 0.0000
0.0000 0.0000 2.6524

---

! Ac2PuPb | Alexandria via LeMat-Bulk | PBE | relaxed; values from VASP
! Energy relative to the elements in eV/atom: -0.054
! Crystal system: tetragonal
! Excess energy over the best structure of this formula in the dataset in meV/atom: 62
! Total energy in eV for the cell shown: -26.5
! Symmetry: P4/mmm, No. 123
&SYSTEM
  ibrav = 0, nat = 4, ntyp = 3
/
ATOMIC_SPECIES
Ac 227.00 Ac.upf
Pu 244.00 Pu.upf
Pb 207.20 Pb.upf
ATOMIC_POSITIONS angstrom
Ac 0.0000 0.0000 1.7783
Ac 0.0000 0.0000 5.7748
Pu 2.1798 2.1798 3.7765
Pb 2.1798 2.1798 0.0000
CELL_PARAMETERS angstrom
4.3596 0.0000 0.0000
0.0000 4.3596 0.0000
0.0000 0.0000 7.5531

---

! La4Tb4Al | Alexandria via LeMat-Bulk | PBE | relaxed; values from VASP
! Energy relative to the elements in eV/atom: 0.220
! Crystal system: orthorhombic
! Total energy in eV for the cell shown: -40.0
! Symmetry: I222, No. 23
&SYSTEM
  ibrav = 0, nat = 9, ntyp = 3
/
ATOMIC_SPECIES
La 138.91 La.upf
Tb 158.93 Tb.upf
Al 26.98 Al.upf
ATOMIC_POSITIONS angstrom
La 0.0000 0.0000 0.0000
La 3.1951 2.8466 0.0000
La 0.0000 4.2686 0.0000
La 0.0000 1.4220 5.6247
Tb 1.8074 -1.1842 2.7207
Tb 4.5828 1.1842 2.7207
Tb 1.3877 3.0844 2.9040
Tb -1.3877 5.4528 2.9040
Al 3.1951 0.0000 0.0000
CELL_PARAMETERS angstrom
-3.1951 4.2686 5.6247
3.1951 -4.2686 5.6247
3.1951 4.2686 -5.6247

---

! KInC | Alexandria via LeMat-Bulk | PBE | relaxed; values from VASP
! Energy relative to the elements in eV/atom: 0.148
! Crystal system: trigonal
! Total energy in eV for the cell shown: -25.2
! Symmetry: R-3m, No. 166
&SYSTEM
  ibrav = 0, nat = 6, ntyp = 3
/
ATOMIC_SPECIES
K 39.10 K.upf
In 114.82 In.upf
C 12.01 C.upf
ATOMIC_POSITIONS angstrom
K 0.0000 0.0000 2.1037
K 0.0000 0.0000 16.8991
In 0.0000 0.0000 6.5513
In 0.0000 0.0000 12.4515
C 0.0000 0.0000 8.8707
C 0.0000 0.0000 10.1321
CELL_PARAMETERS angstrom
2.6201 1.5127 6.3343
-2.6201 1.5127 6.3343
0.0000 -3.0254 6.3343

---

! Dy2CoHg | Alexandria via LeMat-Bulk | PBE | relaxed; values from VASP
! Energy relative to the elements in eV/atom: -0.330
! Crystal system: tetragonal
! Excess energy over the best structure of this formula in the dataset in meV/atom: 0
! Total energy in eV for the cell shown: -17.9
! Symmetry: P4/mmm, No. 123
&SYSTEM
  ibrav = 0, nat = 4, ntyp = 3
/
ATOMIC_SPECIES
Dy 162.50 Dy.upf
Co 58.93 Co.upf
Hg 200.59 Hg.upf
ATOMIC_POSITIONS angstrom
Dy 0.0000 0.0000 1.6290
Dy 0.0000 0.0000 5.8910
Co 1.7181 1.7181 0.0000
Hg 1.7181 1.7181 3.7600
CELL_PARAMETERS angstrom
3.4361 0.0000 0.0000
0.0000 3.4361 0.0000
0.0000 0.0000 7.5200

---

! OsSeBr2F | Alexandria via LeMat-Bulk | PBE | relaxed; values from VASP
! ΔE_f (raw) in kJ per mole of atoms: 115
! Crystal system: tetragonal
! Excess energy over the best structure of this formula in the dataset in meV/atom: 884
! Total energy in eV for the cell shown: -14.0
! Symmetry: P4/mmm, No. 123
&SYSTEM
  ibrav = 0, nat = 5, ntyp = 4
/
ATOMIC_SPECIES
Os 190.23 Os.upf
Se 78.96 Se.upf
Br 79.90 Br.upf
F 19.00 F.upf
ATOMIC_POSITIONS angstrom
Os 0.0000 0.0000 0.0000
Se 2.7380 2.7380 0.0000
Br 0.0000 2.7380 1.9273
Br 2.7380 0.0000 1.9273
F 2.7380 2.7380 1.9273
CELL_PARAMETERS angstrom
5.4759 0.0000 0.0000
0.0000 5.4759 0.0000
0.0000 0.0000 3.8547

---

! ErTlSb2 | Alexandria via LeMat-Bulk | PBE | relaxed; values from VASP
! ΔE_f (raw) in kJ per mole of atoms: -29
! Crystal system: trigonal
! Excess energy over the best structure of this formula in the dataset in meV/atom: 155
! Total energy in eV for the cell shown: -49.1
! Symmetry: R3m, No. 160
&SYSTEM
  ibrav = 0, nat = 12, ntyp = 3
/
ATOMIC_SPECIES
Er 167.26 Er.upf
Tl 204.38 Tl.upf
Sb 121.76 Sb.upf
ATOMIC_POSITIONS angstrom
Er 0.0000 0.0000 0.0000
Er 0.0000 2.7078 13.6069
Er 2.3450 1.3539 6.8035
Tl 0.0000 0.0000 16.9394
Tl 0.0000 2.7078 10.1359
Tl 2.3450 1.3539 3.3325
Sb 0.0000 0.0000 8.3325
Sb 0.0000 0.0000 12.1750
Sb 0.0000 2.7078 1.5291
Sb 0.0000 2.7078 5.3715
Sb 2.3450 1.3539 15.1360
Sb 2.3450 1.3539 18.9785
CELL_PARAMETERS angstrom
4.6900 0.0000 0.0000
-2.3450 4.0617 0.0000
0.0000 0.0000 20.4104

---

! KBeFe2 | Alexandria via LeMat-Bulk | PBE | relaxed; values from VASP
! Energy relative to the elements in eV/atom: 1.290
! Crystal system: orthorhombic
! Total energy in eV for the cell shown: -33.2
! Symmetry: Cmmm, No. 65
&SYSTEM
  ibrav = 0, nat = 8, ntyp = 3
/
ATOMIC_SPECIES
K 39.10 K.upf
Be 9.01 Be.upf
Fe 55.84 Fe.upf
ATOMIC_POSITIONS angstrom
K 0.0000 0.0000 0.0000
K 2.7157 4.5336 0.0000
Be 0.0000 4.5336 0.0000
Be 2.7157 0.0000 0.0000
Fe 1.3578 2.2668 1.2780
Fe 1.3578 6.8004 1.2780
Fe 4.0735 2.2668 1.2780
Fe 4.0735 6.8004 1.2780
CELL_PARAMETERS angstrom
5.4314 0.0000 0.0000
0.0000 9.0672 0.0000
0.0000 0.0000 2.5561

---

! GePPb | Alexandria via LeMat-Bulk | PBE | relaxed; values from VASP
! Energy relative to the elements in eV/atom: 0.244
! Crystal system: trigonal
! Excess energy over the best structure of this formula in the dataset in meV/atom: 155
! Total energy in eV for the cell shown: -39.0
! Symmetry: P3_2, No. 145
&SYSTEM
  ibrav = 0, nat = 9, ntyp = 3
/
ATOMIC_SPECIES
Ge 72.64 Ge.upf
P 30.97 P.upf
Pb 207.20 Pb.upf
ATOMIC_POSITIONS angstrom
Ge -1.4911 3.6059 0.0000
Ge 0.6638 2.1729 5.0419
Ge 0.8273 4.7556 2.5209
P -1.5255 4.3217 2.3021
P 0.0611 1.7852 7.3439
P 1.4645 4.4275 4.8230
Pb 1.6488 1.8375 2.1183
Pb 3.6664 0.5091 7.1601
Pb 3.8080 2.9206 4.6392
CELL_PARAMETERS angstrom
6.0821 0.0000 0.0000
-3.0410 5.2672 0.0000
0.0000 0.0000 7.5628